(1)
DFT (PBE-GGA) results for Tl2AgMo after structural relaxation.

Computed properties:
Relative energy among the computed polymorphs   0.036 eV/atom
N(E_F)   0.32 states/eV/atom
Energy of formation from the pure elements   0.5926 eV/atom
SG   Cmmm

Unit cell a=3.0534 b=3.0534 c=9.5926 alpha=90.00 beta=90.00 gamma=110.01
With the nearest neighbours (Å) after each atom.
Atoms (fractional coordinates):
Tl 0.0000 0.0000 0.2432  2 Mo 2.92, 2 Ag 3.02, 4 Tl 3.05
Tl 0.0000 0.0000 0.7568  2 Mo 2.92, 2 Ag 3.02, 4 Tl 3.05
Ag 0.5000 0.5000 0.5000  4 Tl 3.02, 4 Ag 3.05
Mo 0.5000 0.5000 0.0000  4 Tl 2.92, 4 Mo 3.05

=====

(2)
DFT (PBE-GGA) results for YSb2Ir2 after structural relaxation.

Computed properties:
N(E_F)   0.93 states/eV/atom
Energy relative to the elements, uncorrected   -0.328 eV/atom
SG   I4/mmm

Unit cell a=6.8204 b=6.8204 c=6.8204 alpha=144.07 beta=144.07 gamma=51.73
With the nearest neighbours (Å) after each atom.
Atoms (fractional coordinates):
Y 0.0000 0.0000 0.0000  8 Sb 3.33, 8 Ir 3.72
Sb 0.3784 0.3784 0.0000  4 Ir 2.63
Sb 0.6216 0.6216 0.0000  4 Ir 2.63
Ir 0.2500 0.7500 0.5000  4 Sb 2.63
Ir 0.7500 0.2500 0.5000  4 Sb 2.63